1.
{"formula": "RbTl3As", "functional": "GGA-PBE", "state": "relaxed", "lattice_angstrom": [[7.209, 0.000, 0.000], [0.000, 6.951, 0.000], [0.000, 0.000, 6.910]], "species": ["Rb", "Rb", "Tl", "Tl", "Tl", "Tl", "Tl", "Tl", "As", "As"], "frac_coords": [[0.000, 0.230, 0.000], [0.500, 0.770, 0.500], [0.000, 0.878, 0.378], [0.246, 0.726, 0.996], [0.254, 0.274, 0.496], [0.500, 0.122, 0.878], [0.746, 0.274, 0.496], [0.754, 0.726, 0.996], [0.000, 0.586, 0.657], [0.500, 0.414, 0.157]], "dft_energy_ev_per_atom": -2.662, "sg": "No. 31", "e_form_ev_per_atom": -0.119, "polymorph_energy_kj_per_mol_fu": 6, "volume_a3_per_atom": 34.62, "density_g_cm3": 7.42}


2.
{"formula": "Rb2TlZnAs2", "functional": "GGA-PBE", "state": "relaxed", "lattice_angstrom": [[-3.465, 7.960, 3.397], [3.465, -7.960, 3.397], [3.465, 7.960, -3.397]], "species": ["Rb", "Rb", "Rb", "Rb", "Tl", "Tl", "Zn", "Zn", "As", "As", "As", "As"], "frac_coords": [[0.172, 0.246, 0.418], [0.328, 0.746, 0.074], [0.672, 0.254, 0.926], [0.828, 0.754, 0.582], [0.250, 0.250, 0.000], [0.750, 0.750, 0.000], [0.250, 0.750, 0.500], [0.750, 0.250, 0.500], [0.092, 0.709, 0.801], [0.408, 0.209, 0.617], [0.592, 0.791, 0.383], [0.908, 0.291, 0.199]], "dft_energy_ev_per_atom": -2.784, "sg": "No. 72", "e_form_ev_per_atom": -0.305, "volume_a3_per_atom": 31.23, "density_g_cm3": 5.23}


3.
{"formula": "Rb6VAs4", "functional": "GGA-PBE", "state": "relaxed", "lattice_angstrom": [[10.693, 0.000, 0.000], [-5.346, 9.260, 0.000], [0.000, 0.000, 8.611]], "species": ["Rb", "Rb", "Rb", "Rb", "Rb", "Rb", "Rb", "Rb", "Rb", "Rb", "Rb", "Rb", "V", "V", "As", "As", "As", "As", "As", "As", "As", "As"], "frac_coords": [[0.064, 0.532, 0.000], [0.145, 0.289, 0.318], [0.145, 0.855, 0.318], [0.289, 0.145, 0.818], [0.468, 0.532, 0.000], [0.468, 0.936, 0.000], [0.532, 0.064, 0.500], [0.532, 0.468, 0.500], [0.711, 0.855, 0.318], [0.855, 0.145, 0.818], [0.855, 0.711, 0.818], [0.936, 0.468, 0.500], [0.333, 0.667, 0.608], [0.667, 0.333, 0.108], [0.210, 0.419, 0.695], [0.210, 0.790, 0.695], [0.333, 0.667, 0.332], [0.419, 0.210, 0.195], [0.581, 0.790, 0.695], [0.667, 0.333, 0.832], [0.790, 0.210, 0.195], [0.790, 0.581, 0.195]], "dft_energy_ev_per_atom": -3.437, "sg": "No. 186", "e_form_ev_per_atom": -0.389, "volume_a3_per_atom": 38.76, "density_g_cm3": 3.36}


4.
{"formula": "Rb2VAs", "functional": "GGA-PBE", "state": "relaxed", "lattice_angstrom": [[13.364, 0.000, 0.000], [0.000, 13.364, 0.000], [0.000, 0.000, 4.826]], "species": ["Rb", "Rb", "Rb", "Rb", "Rb", "Rb", "Rb", "Rb", "V", "V", "V", "V", "As", "As", "As", "As"], "frac_coords": [[0.045, 0.250, 0.125], [0.250, 0.545, 0.375], [0.250, 0.955, 0.875], [0.455, 0.250, 0.625], [0.545, 0.750, 0.625], [0.750, 0.045, 0.875], [0.750, 0.455, 0.375], [0.955, 0.750, 0.125], [0.000, 0.000, 0.000], [0.000, 0.500, 0.250], [0.500, 0.000, 0.750], [0.500, 0.500, 0.500], [0.000, 0.000, 0.500], [0.000, 0.500, 0.750], [0.500, 0.000, 0.250], [0.500, 0.500, 0.000]], "dft_energy_ev_per_atom": -3.688, "sg": "No. 122", "e_form_ev_per_atom": 0.238, "volume_a3_per_atom": 53.87, "density_g_cm3": 2.29}


5.
{"formula": "RbVAs2", "functional": "GGA-PBE", "state": "relaxed", "lattice_angstrom": [[6.121, 0.000, 0.000], [0.000, 6.121, 0.000], [0.000, 0.000, 14.180]], "species": ["Rb", "Rb", "Rb", "Rb", "V", "V", "V", "V", "As", "As", "As", "As", "As", "As", "As", "As"], "frac_coords": [[0.000, 0.250, 0.375], [0.000, 0.750, 0.625], [0.500, 0.250, 0.125], [0.500, 0.750, 0.875], [0.000, 0.250, 0.875], [0.000, 0.750, 0.125], [0.500, 0.250, 0.625], [0.500, 0.750, 0.375], [0.000, 0.000, 0.000], [0.000, 0.500, 0.000], [0.250, 0.250, 0.750], [0.250, 0.750, 0.250], [0.500, 0.000, 0.500], [0.500, 0.500, 0.500], [0.750, 0.250, 0.750], [0.750, 0.750, 0.250]], "dft_energy_ev_per_atom": -5.093, "sg": "No. 141", "e_form_ev_per_atom": -0.247, "polymorph_energy_kj_per_mol_fu": 0, "volume_a3_per_atom": 33.20, "density_g_cm3": 3.58}


6.
{"formula": "RbV2As2", "functional": "GGA-PBE", "state": "relaxed", "lattice_angstrom": [[3.953, 0.000, 0.000], [0.000, 3.953, 0.000], [0.000, 0.000, 14.909]], "species": ["Rb", "Rb", "V", "V", "V", "V", "As", "As", "As", "As"], "frac_coords": [[0.000, 0.000, 0.000], [0.500, 0.500, 0.500], [0.000, 0.500, 0.250], [0.000, 0.500, 0.750], [0.500, 0.000, 0.250], [0.500, 0.000, 0.750], [0.000, 0.000, 0.351], [0.000, 0.000, 0.649], [0.500, 0.500, 0.149], [0.500, 0.500, 0.851]], "dft_energy_ev_per_atom": -6.069, "sg": "No. 139", "e_form_ev_per_atom": -0.368, "polymorph_energy_kj_per_mol_fu": 0, "volume_a3_per_atom": 23.29, "density_g_cm3": 4.81}


7.
{"formula": "Rb3VAs", "functional": "GGA-PBE", "state": "relaxed", "lattice_angstrom": [[6.720, 0.000, 0.000], [0.000, 6.720, 0.000], [0.000, 0.000, 6.720]], "species": ["Rb", "Rb", "Rb", "V", "As"], "frac_coords": [[0.000, 0.000, 0.500], [0.000, 0.500, 0.000], [0.500, 0.000, 0.000], [0.500, 0.500, 0.500], [0.000, 0.000, 0.000]], "dft_energy_ev_per_atom": -2.571, "sg": "No. 221", "e_form_ev_per_atom": 0.763, "polymorph_energy_kj_per_mol_fu": 0, "volume_a3_per_atom": 60.70, "density_g_cm3": 2.09}


8.
{"formula": "RbVAs2", "functional": "GGA-PBE", "state": "relaxed", "lattice_angstrom": [[3.238, 0.000, 0.000], [0.000, 3.238, 0.000], [0.000, 0.000, 8.284]], "species": ["Rb", "V", "As", "As"], "frac_coords": [[0.000, 0.000, 0.000], [0.000, 0.000, 0.500], [0.500, 0.500, 0.327], [0.500, 0.500, 0.673]], "dft_energy_ev_per_atom": -5.021, "sg": "No. 123", "e_form_ev_per_atom": -0.175, "polymorph_energy_kj_per_mol_fu": 28, "volume_a3_per_atom": 21.72, "density_g_cm3": 5.47}